Model P:
Below is RbNaP after structural relaxation, with properties calculated at the GGA-PBE level.

Lattice parameters (Å, degrees): 9.588 6.594 7.000 90.00 122.81 90.00
Fractional coordinates of all 12 atoms:
Rb: 0.210 0.000 0.056
Rb: 0.290 0.500 0.944
Rb: 0.710 0.500 0.056
Rb: 0.790 0.000 0.944
Na: 0.184 0.500 0.405
Na: 0.316 0.000 0.595
Na: 0.684 0.000 0.405
Na: 0.816 0.500 0.595
P: 0.000 0.173 0.500
P: 0.000 0.827 0.500
P: 0.500 0.327 0.500
P: 0.500 0.673 0.500

Its space-group type is No. 12. Its volume is 31.00 Å³/atom. The value obtained for the total moment is 0.000 μB/atom. Its density of states at the Fermi level is 3.59 states/eV/cell.



Model Q:
Below is RbNaP after structural relaxation, with properties calculated at the GGA-PBE level.

Lattice parameters (Å, degrees): 9.535 4.965 8.038 90.00 107.25 90.00
Fractional coordinates of all 12 atoms:
Rb: 0.189 0.000 0.142
Rb: 0.311 0.500 0.858
Rb: 0.689 0.500 0.142
Rb: 0.811 0.000 0.858
Na: 0.115 0.500 0.417
Na: 0.385 0.000 0.583
Na: 0.615 0.000 0.417
Na: 0.885 0.500 0.583
P: 0.085 0.000 0.638
P: 0.415 0.500 0.362
P: 0.585 0.500 0.638
P: 0.915 0.000 0.362

Its space-group type is No. 12. Its volume is 30.29 Å³/atom. The value obtained for the total moment is 0.000 μB/atom. Its density of states at the Fermi level is 2.52 states/eV/cell.



Model R:
Below is RbNaP after structural relaxation, with properties calculated at the GGA-PBE level.

Lattice parameters (Å, degrees): 6.714 3.453 8.407 90.00 90.05 90.00
Fractional coordinates of all 6 atoms:
Rb: 0.000 0.000 0.000
Rb: 0.241 0.500 0.467
Na: 0.538 0.000 0.105
Na: 0.697 0.500 0.636
P: 0.392 0.500 0.852
P: 0.774 0.500 0.317

Its space-group type is No. 6. Its volume is 32.48 Å³/atom. The value obtained for the total moment is 0.000 μB/atom. Its density of states at the Fermi level is 2.62 states/eV/cell.



Relative energies, in meV/atom, with the most stable structure set to zero: model P 36; model Q 0; model R 262.